No. 1
## AcLa2Tl (PBE-GGA)

Data for a geometry-optimized AcLa2Tl structure.

Results
ΔE_f   -0.06 eV/atom
Total magnetic moment   0.0 μB/f.u.
Space group   Fm-3m, No. 225
Energy relative to the lowest polymorph listed for this composition   144 meV/atom

abc: 8.2332 8.2332 8.2332
angles: 90.00 90.00 90.00
With the nearest neighbours (Å) after each atom.
Fractional coordinates of all 16 atoms:
Ac 0.0000 0.0000 0.0000  8 La 3.57
Ac 0.0000 0.5000 0.5000  8 La 3.57
Ac 0.5000 0.0000 0.5000  8 La 3.57
Ac 0.5000 0.5000 0.0000  8 La 3.57
La 0.2500 0.2500 0.2500  4 Ac 3.57, 4 Tl 3.57
La 0.2500 0.2500 0.7500  4 Tl 3.57, 4 Ac 3.57
La 0.2500 0.7500 0.2500  4 Tl 3.57, 4 Ac 3.57
La 0.2500 0.7500 0.7500  4 Ac 3.57, 4 Tl 3.57
La 0.7500 0.2500 0.2500  4 Tl 3.57, 4 Ac 3.57
La 0.7500 0.2500 0.7500  4 Ac 3.57, 4 Tl 3.57
La 0.7500 0.7500 0.2500  4 Ac 3.57, 4 Tl 3.57
La 0.7500 0.7500 0.7500  4 Tl 3.57, 4 Ac 3.57
Tl 0.0000 0.0000 0.5000  8 La 3.57
Tl 0.0000 0.5000 0.0000  8 La 3.57
Tl 0.5000 0.0000 0.0000  8 La 3.57
Tl 0.5000 0.5000 0.5000  8 La 3.57

***

No. 2
## AcLa2Tl (PBE-GGA)

Data for a geometry-optimized AcLa2Tl structure.

Results
ΔE_f   -0.18 eV/atom
Total magnetic moment   0.0 μB/f.u.
Space group   P2_1/m, No. 11
Energy relative to the lowest polymorph listed for this composition   23 meV/atom

abc: 5.0638 4.9188 11.9383
angles: 90.00 102.29 90.00
With the nearest neighbours (Å) after each atom.
Fractional coordinates of all 8 atoms:
Ac 0.1953 0.2500 0.3912  5 Tl 3.39-3.63
Ac 0.8047 0.7500 0.6088  5 Tl 3.39-3.63
La 0.0660 0.7500 0.1343  2 Tl 3.32, 4 La 3.55-3.56
La 0.4501 0.7500 0.8996  8 La 3.40-3.74, 2 Tl 3.54
La 0.5499 0.2500 0.1004  8 La 3.40-3.74, 2 Tl 3.54
La 0.9340 0.2500 0.8657  2 Tl 3.32, 4 La 3.55-3.56
Tl 0.3415 0.2500 0.6814  4 La 3.32-3.54, 5 Ac 3.39-3.63
Tl 0.6585 0.7500 0.3186  4 La 3.32-3.54, 5 Ac 3.39-3.63

***

No. 3
## Ac8La2Tl (PBE-GGA)

Data for a geometry-optimized Ac8La2Tl structure.

Results
ΔE_f   0.02 eV/atom
Total magnetic moment   0.0 μB/f.u.
Space group   Immm, No. 71

abc: 10.7880 10.7880 10.7880
angles: 146.91 135.68 56.41
With the nearest neighbours (Å) after each atom.
Fractional coordinates of all 11 atoms:
Ac 0.1298 0.3631 0.7668  1 Tl 3.39, 2 La 3.75, 1 Ac 3.80
Ac 0.1827 0.1827 0.0000  8 Ac 3.86-4.03, 4 La 3.90-4.07
Ac 0.2514 0.0000 0.2514  2 Tl 3.69, 8 Ac 4.03-4.09
Ac 0.4037 0.6369 0.7668  1 Tl 3.39, 2 La 3.75, 1 Ac 3.80
Ac 0.5963 0.3631 0.2332  1 Tl 3.39, 2 La 3.75, 1 Ac 3.80
Ac 0.7486 0.0000 0.7486  2 Tl 3.69, 8 Ac 4.03-4.09
Ac 0.8173 0.8173 0.0000  8 Ac 3.86-4.03, 4 La 3.90-4.07
Ac 0.8702 0.6369 0.2332  1 Tl 3.39, 2 La 3.75, 1 Ac 3.80
La 0.3093 0.8093 0.5000  12 Ac 3.75-4.15
La 0.6907 0.1907 0.5000  12 Ac 3.75-4.15
Tl 0.0000 0.5000 0.5000  8 Ac 3.39-3.69

***

No. 4
## AcLa6Tl (PBE-GGA)

Data for a geometry-optimized AcLa6Tl structure.

Results
ΔE_f   -0.02 eV/atom
Total magnetic moment   0.0 μB/f.u.
Space group   P-1, No. 2
Energy relative to the lowest polymorph listed for this composition   28 meV/atom

abc: 6.5879 6.6074 6.6090
angles: 89.80 87.78 88.03
With the nearest neighbours (Å) after each atom.
Fractional coordinates of all 8 atoms:
Ac 0.0000 0.0000 0.0000  12 La 3.71-3.77
La 0.0020 0.5020 0.7354  1 La 3.11
La 0.2659 0.9962 0.4849  1 La 3.10
La 0.4865 0.2660 0.9995  1 La 3.10
La 0.5135 0.7340 0.0005  1 La 3.10
La 0.7341 0.0038 0.5151  1 La 3.10
La 0.9980 0.4980 0.2646  1 La 3.11
Tl 0.5000 0.5000 0.5000  12 La 3.58-3.72